(1)
Ce3Cr10N11 | meta-GGA SCAN | PBEsol geometry

Cell lengths 12.5453, 12.5453, 12.5453 Å; angles 90.00, 90.00, 90.00 degrees
Space group Fm-3m (No. 225)
Inequivalent atoms, fractional coordinates:
Ce 0.0000 0.0000 0.1947 x24
Cr 0.0983 0.0983 0.4017 x32
Cr 0.1093 0.2500 0.2500 x48
N 0.0000 0.0000 0.0000 x4
N 0.0000 0.0000 0.5000 x4
N 0.0000 0.1732 0.3268 x48
N 0.1381 0.1381 0.1381 x32

## Properties
The value obtained for the uncorrected formation energy is -0.910 eV per atom. The value obtained for the theoretical density is 7.4 Mg/m³.

(2)
CeCrSe2O | meta-GGA SCAN | PBEsol geometry

Cell lengths 11.2377, 3.8211, 8.1439 Å; angles 90.00, 91.05, 90.00 degrees
Space group C2/m (No. 12)
Inequivalent atoms, fractional coordinates:
Ce 0.2268 0.0000 0.3037 x4
Cr 0.0000 0.0000 0.0000 x2
Cr 0.0000 0.5000 0.5000 x2
Se 0.0485 0.0000 0.7008 x4
Se 0.1425 0.5000 0.0310 x4
O 0.1696 0.5000 0.4390 x4

## Properties
The value obtained for the uncorrected formation energy is -2.103 eV per atom. The value obtained for the theoretical density is 7.0 Mg/m³.

(3)
Cs2CeCuI6 | meta-GGA SCAN | PBEsol geometry

Cell lengths 11.7588, 11.7588, 11.7588 Å; angles 90.00, 90.00, 90.00 degrees
Space group Fm-3m (No. 225)
Inequivalent atoms, fractional coordinates:
Cs 0.2500 0.2500 0.2500 x8
Ce 0.0000 0.0000 0.0000 x4
Cu 0.0000 0.0000 0.5000 x4
I 0.0000 0.0000 0.2617 x24

## Properties
The value obtained for the uncorrected formation energy is -1.301 eV per atom. The value obtained for the theoretical density is 5.0 Mg/m³.

(4)
Cs2KCeF6 | meta-GGA SCAN | PBEsol geometry

Cell lengths 9.5818, 9.5818, 9.5818 Å; angles 90.00, 90.00, 90.00 degrees
Space group Fm-3m (No. 225)
Inequivalent atoms, fractional coordinates:
Cs 0.2500 0.2500 0.2500 x8
K 0.0000 0.0000 0.0000 x4
Ce 0.0000 0.0000 0.5000 x4
F 0.0000 0.0000 0.2636 x24

## Properties
The value obtained for the uncorrected formation energy is -3.473 eV per atom. The value obtained for the theoretical density is 4.2 Mg/m³.

(5)
Cs2LiCeF6 | meta-GGA SCAN | PBEsol geometry

Cell lengths 8.8711, 8.8711, 8.8711 Å; angles 90.00, 90.00, 90.00 degrees
Space group Fm-3m (No. 225)
Inequivalent atoms, fractional coordinates:
Cs 0.2500 0.2500 0.2500 x8
Li 0.0000 0.0000 0.0000 x4
Ce 0.0000 0.0000 0.5000 x4
F 0.0000 0.0000 0.2427 x24

## Properties
The value obtained for the uncorrected formation energy is -3.487 eV per atom. The value obtained for the theoretical density is 5.0 Mg/m³.

(6)
Cs2NaCeF6 | meta-GGA SCAN | PBEsol geometry

Cell lengths 9.1557, 9.1557, 9.1557 Å; angles 90.00, 90.00, 90.00 degrees
Space group Fm-3m (No. 225)
Inequivalent atoms, fractional coordinates:
Cs 0.2500 0.2500 0.2500 x8
Na 0.0000 0.0000 0.0000 x4
Ce 0.0000 0.0000 0.5000 x4
F 0.0000 0.0000 0.2519 x24

## Properties
The value obtained for the uncorrected formation energy is -3.487 eV per atom. The value obtained for the theoretical density is 4.7 Mg/m³.